No. 1
Tb3AuS6, relaxed, DFT PBE; symmetry = No. 36; formation energy without anion corrections = -1.42 eV per atom; total magnetization = 0.30 μB/f.u.
1.0
6.581 0.000 0.000
0.000 8.632 -0.174
0.000 -2.096 8.376
Tb Au S
6 2 12
direct
0.487 0.914 0.723
0.987 0.723 0.914
0.387 0.408 0.592
0.887 0.592 0.408
0.987 0.086 0.277
0.487 0.277 0.086
0.972 0.245 0.755
0.472 0.755 0.245
0.183 0.696 0.633
0.683 0.633 0.696
0.211 0.435 0.903
0.711 0.903 0.435
0.245 0.004 0.996
0.620 0.235 0.765
0.120 0.765 0.235
0.745 0.996 0.004
0.211 0.097 0.565
0.711 0.565 0.097
0.183 0.367 0.304
0.683 0.304 0.367

No. 2
La7Pr4Sn, relaxed, DFT PBE; symmetry = No. 2; total magnetization = 0.00 μB/f.u.; formation enthalpy at 0 K = -0.078 eV/atom
1.0
6.254 1.085 0.539
4.509 11.088 1.885
-0.801 1.110 6.740
La Pr Sn
7 4 1
direct
0.847 0.909 0.539
0.153 0.091 0.461
0.091 0.660 0.158
0.909 0.340 0.842
0.193 0.566 0.695
0.500 0.000 0.000
0.807 0.434 0.305
0.499 0.256 0.613
0.501 0.744 0.387
0.512 0.728 0.865
0.488 0.272 0.135
0.000 0.000 0.000